No. 1
# CrTeCl2

CrTeCl2 at its PBEsol-relaxed geometry (meta-GGA SCAN, the Alexandria database).

Cell: 3.2440 4.5297 5.6481 Å, 90.00 90.00 90.00°
Each line ends with the local moment (μB).
Fractional positions:
1 Te 0.0000 0.5000 0.5000  -0.13
2 Cl 0.0000 0.0000 0.0000  -0.05
3 Cl 0.5000 0.0000 0.5000  -0.01
4 Cr 0.5000 0.5000 0.0000  4.08

The formation energy (no corrections) is -0.224 eV per atom. As for the total energy: -18.1217 eV/atom. As for the space group: Pmmm (47). For the density of states at the Fermi level, the calculation gives 0.476 states/eV per atom.


No. 2
# CrTeCl

CrTeCl at its PBEsol-relaxed geometry (meta-GGA SCAN, the Alexandria database).

Cell: 3.6327 3.6327 6.4041 Å, 90.00 90.00 120.00°
Each line ends with the local moment (μB).
Fractional positions:
1 Te 0.6667 0.3333 0.4309  -0.25
2 Cl 0.0000 0.0000 0.8900  0.00
3 Cr 0.3333 0.6667 0.6791  3.19

The formation energy (no corrections) is -0.925 eV per atom. As for the total energy: -22.1298 eV/atom. As for the space group: P3m1 (156).


No. 3
# CrTeCl

CrTeCl at its PBEsol-relaxed geometry (meta-GGA SCAN, the Alexandria database).

Cell: 4.6739 4.6739 4.6739 Å, 60.00 60.00 60.00°
Each line ends with the local moment (μB).
Fractional positions:
1 Cr 0.0000 0.0000 0.0000  4.03
2 Te 0.5000 0.5000 0.5000  -0.55
3 Cl 0.2500 0.2500 0.2500  -0.25

The formation energy (no corrections) is 0.394 eV per atom. As for the total energy: -20.8104 eV/atom. As for the space group: F-43m (216). For the density of states at the Fermi level, the calculation gives 0.504 states/eV per atom.